Record 1
The following is a GGA-PBE calculation of Be2AgSe after structural relaxation, from Alexandria via LeMat-Bulk.

Values from the calculation:
The density of states at the Fermi level is 0.87 states/eV/f.u. The uncorrected energy comes out at -3.31 eV per atom. Its space group is P4mm. Its crystal system is tetragonal.

a b c (Å): 3.234 3.234 6.265
angles (deg): 90.00 90.00 90.00
Element x y z (fractional)
Be  0.000  0.000  0.015
Se  0.000  0.000  0.366
Ag  0.500  0.500  0.865
Be  0.500  0.500  0.255

=====

Record 2
The following is a GGA-PBE calculation of BeAg3Se after structural relaxation, from Alexandria via LeMat-Bulk.

Values from the calculation:
The relative energy among the computed polymorphs is 0.0 meV/atom. The density of states at the Fermi level is 2.64 states/eV/f.u. Its space group is Pm-3m. Its crystal system is cubic.

a b c (Å): 4.535 4.535 4.535
angles (deg): 90.00 90.00 90.00
Element x y z (fractional)
Be  0.000  0.000  0.000
Ag  0.000  0.500  0.000
Se  0.500  0.500  0.500
Ag  0.500  0.000  0.000
Ag  0.000  0.000  0.500

=====

Record 3
The following is a GGA-PBE calculation of BeAg2Se after structural relaxation, from Alexandria via LeMat-Bulk.

Values from the calculation:
The relative energy among the computed polymorphs is 391.4 meV/atom. Its space group is F-43m. Its crystal system is cubic.

a b c (Å): 4.608 4.608 4.608
angles (deg): 60.00 60.00 60.00
Element x y z (fractional)
Ag  0.250  0.250  0.250
Be  0.500  0.500  0.500
Ag  0.000  0.000  0.000
Se  0.750  0.750  0.750

=====

What is the formula in the third record?
BeAg2Se